This record from the Alexandria database describes crystalline La4TlCo at its relaxed geometry. The functional is GGA-PBE.

Calculated values
SG: C2/c
Fermi-level density of states, states/eV per cell: 12.99
ΔE_f, eV/atom: -0.191
Offset from the most stable computed form, meV per atom: 34
Volume, Å³ per cell: 369.0

a b c (Å): 6.2519 8.4281 8.5645
angles (deg): 113.03 103.24 106.03
Element x y z (fractional)
La1 0.6774 0.3232 0.1333
La2 0.3494 0.9286 0.6267
La3 0.6506 0.0714 0.3733
La4 0.3226 0.6768 0.8667
La5 0.2227 0.3019 0.3733
La6 0.9559 0.8101 0.1333
La7 0.0441 0.1899 0.8667
La8 0.7773 0.6981 0.6267
Tl1 0.3686 0.6186 0.2372
Tl2 0.6314 0.3814 0.7628
Co1 0.2404 0.9904 0.9809
Co2 0.7596 0.0096 0.0191



This record from the Alexandria database describes crystalline LaTl2Co2 at its relaxed geometry. The functional is GGA-PBE.

Calculated values
SG: I4/mmm
Fermi-level density of states, states/eV per cell: 5.25
ΔE_f, eV/atom: 0.093
Offset from the most stable computed form, meV per atom: 0
Volume, Å³ per cell: 108.1

a b c (Å): 4.4847 4.4847 6.2407
angles (deg): 68.94 68.94 90.00
Site moments in Bohr magnetons follow the coordinates.
Element x y z (fractional)
La1 0.0000 0.0000 0.0000  -0.09
Tl1 0.2500 0.7500 0.5000  -0.02
Tl2 0.7500 0.2500 0.5000  -0.02
Co1 0.3990 0.3990 0.2019  1.18
Co2 0.6010 0.6010 0.7981  1.18